The following is a PBE calculation of a geometry-optimized CaHf2Nb structure, from the Alexandria database.

abc: 5.0334 5.0334 5.0334
angles: 60.00 60.00 60.00
With the nearest neighbours (Å) after each atom.
Positions (direct):
Nb  0.5000  0.5000  0.5000  8 Hf 3.08
Ca  0.0000  0.0000  0.0000  8 Hf 3.08
Hf  0.2500  0.2500  0.2500  4 Nb 3.08, 4 Ca 3.08
Hf  0.7500  0.7500  0.7500  4 Nb 3.08, 4 Ca 3.08

As for the formation energy: 178 kJ/mol of formula units. The distance to the lowest polymorph of the same formula comes out at 0 meV/atom. Its uncorrected energy is -7.534 eV/atom. Its symmetry is Fm-3m, No. 225.